# 1
This record from Alexandria describes an optimized crystal structure of K2BaP. The functional is PBE-GGA.

The structure in extended XYZ format:
```
8
Lattice="-2.467 2.467 12.858 2.467 -2.467 12.858 2.467 2.467 -12.858" Properties=species:S:1:pos:R:3 pbc="T T T"
K 3.701 0.999 -3.214
K 0.999 1.234 3.214
K -1.234 1.468 9.643
K 1.468 1.234 16.072
Ba 2.467 0.000 6.429
Ba 0.000 0.000 12.858
P 0.000 0.000 0.000
P 0.000 2.467 6.429
```

Summary:
Total moment in μB per cell: 0.0
VASP energy in eV per atom: -2.473
Space-group type: I-42d


# 2
This record from Alexandria describes an optimized crystal structure of KBa2P. The functional is PBE-GGA.

The structure in extended XYZ format:
```
4
Lattice="-2.801 2.801 4.606 2.801 -2.801 4.606 2.801 2.801 -4.606" Properties=species:S:1:pos:R:3 pbc="T T T"
K 0.000 0.000 0.000
Ba 2.801 0.000 2.303
Ba 0.000 2.801 2.303
P 0.000 0.000 4.606
```

Summary:
Total moment in μB per cell: 0.0
VASP energy in eV per atom: -2.700
Space-group type: I4/mmm


# 3
This record from Alexandria describes an optimized crystal structure of KBa2P. The functional is PBE-GGA.

The structure in extended XYZ format:
```
4
Lattice="-2.508 2.508 5.838 2.508 -2.508 5.838 2.508 2.508 -5.838" Properties=species:S:1:pos:R:3 pbc="T T T"
K 0.000 0.000 0.000
Ba 0.000 0.000 5.838
Ba 0.000 2.508 2.919
P 2.508 0.000 2.919
```

Summary:
Total moment in μB per cell: 0.0
VASP energy in eV per atom: -2.719
Space-group type: I-4m2


# 4
This record from Alexandria describes an optimized crystal structure of KBaP. The functional is PBE-GGA.

The structure in extended XYZ format:
```
12
Lattice="10.884 0.000 0.000 0.000 5.454 0.000 0.000 0.000 7.741" Properties=species:S:1:pos:R:3 pbc="T T T"
K 1.132 1.363 0.203
K 4.310 4.090 4.073
K 6.574 1.363 3.668
K 9.752 4.090 7.538
Ba 1.529 1.363 4.048
Ba 3.913 4.090 0.178
Ba 6.971 1.363 7.563
Ba 9.355 4.090 3.693
P 1.386 4.090 2.224
P 4.056 1.363 6.094
P 6.828 4.090 1.647
P 9.498 1.363 5.517
```

Summary:
Total moment in μB per cell: 0.0
VASP energy in eV per atom: -3.501
Space-group type: Pnma


# 5
This record from Alexandria describes an optimized crystal structure of KBa2P. The functional is PBE-GGA.

The structure in extended XYZ format:
```
4
Lattice="4.072 0.000 0.000 0.000 4.072 0.000 0.000 0.000 11.529" Properties=species:S:1:pos:R:3 pbc="T T T"
K 0.000 0.000 0.000
Ba 2.036 2.036 4.087
Ba 2.036 2.036 7.442
P 0.000 0.000 5.765
```

Summary:
Total moment in μB per cell: 0.0
VASP energy in eV per atom: -3.101
Space-group type: P4/mmm


# 6
This record from Alexandria describes an optimized crystal structure of K2BaP. The functional is PBE-GGA.

The structure in extended XYZ format:
```
4
Lattice="4.945 0.000 0.000 0.000 4.945 0.000 0.000 0.000 5.870" Properties=species:S:1:pos:R:3 pbc="T T T"
K 0.000 2.472 0.000
K 2.472 0.000 0.000
Ba 0.000 0.000 2.935
P 2.472 2.472 2.935
```

Summary:
Total moment in μB per cell: 0.5
VASP energy in eV per atom: -2.575
Space-group type: P4/mmm


total moment of number 6 (K2BaP)?
0.5 μB per cell